Record 1
AcLuRhPb after structural relaxation. Source: Alexandria, functional GGA-PBE.

abc: 7.566 7.566 7.566
angles: 90.00 90.00 90.00
Space group F-43m (No. 216)
One atom of each set of equivalent atoms:
Ac1 0.000 0.000 0.000 (multiplicity 4)
Lu1 0.000 0.000 0.500 (multiplicity 4)
Rh1 0.250 0.250 0.250 (multiplicity 4)
Pb1 0.250 0.250 0.750 (multiplicity 4)

Output
The formation energy comes out at -363 meV per atom.

Record 2
Pu2Si4Ni3Os after structural relaxation. Source: Alexandria, functional GGA-PBE.

abc: 4.006 4.006 9.632
angles: 90.00 90.00 90.00
Space group P-4m2 (No. 115)
One atom of each set of equivalent atoms:
Pu1 0.000 0.500 0.242 (multiplicity 2)
Si1 0.000 0.000 0.000 (multiplicity 1)
Si2 0.000 0.500 0.637 (multiplicity 2)
Si3 0.500 0.500 0.000 (multiplicity 1)
Ni1 0.000 0.500 0.878 (multiplicity 2)
Ni2 0.500 0.500 0.500 (multiplicity 1)
Os1 0.000 0.000 0.500 (multiplicity 1)

Output
The calculation puts the formation energy (no corrections) at -0.633 eV per atom.

| no. | Fermi-level density of states (states/eV/f.u.) |
| --- | --- |
| 1 | 3.88 |
| 2 | 24.91 |